Tm6Mg2Os | PBE | relaxed

Magnetic moment (μB/f.u.): 0.000
Offset from the most stable computed form (eV/atom): 0.211
Formation energy from the elements (eV/atom): 0.120
Space-group type: Immm (71)

abc: 7.4274 7.4274 7.4274
angles: 136.99 110.34 85.48
Atoms (fractional coordinates):
Tm: 0.1156 0.3449 0.7706
Tm: 0.1764 0.0000 0.1764
Tm: 0.4257 0.6551 0.7706
Tm: 0.5743 0.3449 0.2294
Tm: 0.8236 0.0000 0.8236
Tm: 0.8844 0.6551 0.2294
Mg: 0.3578 0.8578 0.5000
Mg: 0.6422 0.1422 0.5000
Os: 0.0000 0.5000 0.5000